# TbSm7Cd4, relaxed, DFT PBE
# Spin magnetization in μB/cell: 0.00
data_TbSm7Cd4
_chemical_formula_sum 'Tb2 Sm14 Cd8'
_symmetry_space_group_name_H-M 'C 1 2/m 1'
_symmetry_Int_Tables_number 12
_cell_length_a 14.9457
_cell_length_b 5.7996
_cell_length_c 9.9068
_cell_angle_alpha 90.00
_cell_angle_beta 122.03
_cell_angle_gamma 90.00
loop_
_symmetry_equiv_pos_as_xyz
'x,y,z'
'-x,-y,-z'
'-x,y,-z'
'x,-y,z'
'x+1/2,y+1/2,z'
'-x+1/2,-y+1/2,-z'
'-x+1/2,y+1/2,-z'
'x+1/2,-y+1/2,z'
loop_
_atom_site_label
_atom_site_type_symbol
_atom_site_fract_x
_atom_site_fract_y
_atom_site_fract_z
Tb1 Tb 0.0000 0.0000 0.0000
Sm1 Sm 0.0000 0.5000 0.0000
Sm2 Sm 0.0702 0.0000 0.4102
Sm3 Sm 0.2045 0.0000 0.8815
Sm4 Sm 0.2372 0.5000 0.6936
Cd1 Cd 0.0413 0.5000 0.7131
Cd2 Cd 0.1813 0.5000 0.3427

# LaAl4As, relaxed, DFT PBE
# Spin magnetization in μB/cell: 0.00
data_LaAl4As
_chemical_formula_sum 'La4 Al16 As4'
_symmetry_space_group_name_H-M 'F -4 3 m'
_symmetry_Int_Tables_number 216
_symmetry_space_group_name_Hall 'F -4 2 3'
_cell_length_a 7.9157
_cell_length_b 7.9157
_cell_length_c 7.9157
_cell_angle_alpha 90.00
_cell_angle_beta 90.00
_cell_angle_gamma 90.00
loop_
_atom_site_label
_atom_site_type_symbol
_atom_site_fract_x
_atom_site_fract_y
_atom_site_fract_z
La1 La 0.0000 0.0000 0.0000
Al1 Al 0.1250 0.1250 0.6250
As1 As 0.2500 0.2500 0.2500

# DyGa4Ni8, relaxed, DFT PBE
# Spin magnetization in μB/cell: 0.00
data_DyGa4Ni8
_chemical_formula_sum 'Dy2 Ga8 Ni16'
_symmetry_space_group_name_H-M 'I 4/m m m'
_symmetry_Int_Tables_number 139
_symmetry_space_group_name_Hall '-I 4 2'
_cell_length_a 8.2536
_cell_length_b 8.2536
_cell_length_c 5.0364
_cell_angle_alpha 90.00
_cell_angle_beta 90.00
_cell_angle_gamma 90.00
loop_
_atom_site_label
_atom_site_type_symbol
_atom_site_fract_x
_atom_site_fract_y
_atom_site_fract_z
Dy1 Dy 0.0000 0.0000 0.0000
Ga1 Ga 0.2500 0.2500 0.2500
Ni1 Ni 0.0000 0.2240 0.5000
Ni2 Ni 0.0000 0.3519 0.0000

no.,DFT formation energy (eV/atom)
1,-0.0152
2,-0.1299
3,-0.3527